## SrPuNi (PBE)

Data for SrPuNi after structural relaxation.

Computed properties:
Size of the total moment ... 6.8 Bohr magnetons per cell
Energy relative to the lowest polymorph listed for this composition ... 0.0 kJ/mol of atoms
Space-group type ... No. 216
V ... 84.05 Å³ per cell
Uncorrected energy ... -6.606 eV/atom

abc: 4.917 4.917 4.917
angles: 60.00 60.00 60.00
Fractional positions:
Sr (0.000, 0.000, 0.000)
Pu (0.500, 0.500, 0.500)
Ni (0.750, 0.750, 0.750)



## PuTaNi (PBE)

Data for PuTaNi after structural relaxation.

Computed properties:
ΔE_f ... 0.886 eV per atom
Size of the total moment ... 0.0 Bohr magnetons per cell
Energy relative to the lowest polymorph listed for this composition ... 0.0 kJ/mol of atoms
Space-group type ... No. 216
V ... 56.10 Å³ per cell
Uncorrected energy ... -9.629 eV/atom

abc: 4.297 4.297 4.297
angles: 60.00 60.00 60.00
Fractional positions:
Pu (0.000, 0.000, 0.000)
Ta (0.500, 0.500, 0.500)
Ni (0.750, 0.750, 0.750)



## PuTlNi (PBE)

Data for PuTlNi after structural relaxation.

Computed properties:
Size of the total moment ... 5.6 Bohr magnetons per cell
Space-group type ... No. 216
V ... 70.22 Å³ per cell
Uncorrected energy ... -7.361 eV/atom

abc: 4.631 4.631 4.631
angles: 60.00 60.00 60.00
Fractional positions:
Pu (0.000, 0.000, 0.000)
Tl (0.500, 0.500, 0.500)
Ni (0.750, 0.750, 0.750)



## TmPuNi (PBE)

Data for TmPuNi after structural relaxation.

Computed properties:
ΔE_f ... 1.288 eV per atom
Size of the total moment ... 0.0 Bohr magnetons per cell
Space-group type ... No. 216
V ... 68.15 Å³ per cell
Uncorrected energy ... -6.769 eV/atom

abc: 4.585 4.585 4.585
angles: 60.00 60.00 60.00
Fractional positions:
Tm (0.000, 0.000, 0.000)
Pu (0.250, 0.250, 0.250)
Ni (0.750, 0.750, 0.750)



## PuUNi (PBE)

Data for PuUNi after structural relaxation.

Computed properties:
ΔE_f ... 0.095 eV per atom
Size of the total moment ... 0.0 Bohr magnetons per cell
Energy relative to the lowest polymorph listed for this composition ... 0.0 kJ/mol of atoms
Space-group type ... No. 216
V ... 51.94 Å³ per cell
Uncorrected energy ... -10.236 eV/atom

abc: 4.188 4.188 4.188
angles: 60.00 60.00 60.00
Fractional positions:
Pu (0.000, 0.000, 0.000)
U (0.750, 0.750, 0.750)
Ni (0.500, 0.500, 0.500)



## PuNiW (PBE)

Data for PuNiW after structural relaxation.

Computed properties:
ΔE_f ... 1.017 eV per atom
Size of the total moment ... 0.0 Bohr magnetons per cell
Energy relative to the lowest polymorph listed for this composition ... 0.0 kJ/mol of atoms
Space-group type ... No. 216
V ... 53.47 Å³ per cell
Uncorrected energy ... -9.867 eV/atom

abc: 4.229 4.229 4.229
angles: 60.00 60.00 60.00
Fractional positions:
Pu (0.000, 0.000, 0.000)
Ni (0.750, 0.750, 0.750)
W (0.500, 0.500, 0.500)



## PuNiW (PBE)

Data for PuNiW after structural relaxation.

Computed properties:
ΔE_f ... 1.326 eV per atom
Size of the total moment ... 0.0 Bohr magnetons per cell
Energy relative to the lowest polymorph listed for this composition ... 29.8 kJ/mol of atoms
Space-group type ... No. 216
V ... 55.42 Å³ per cell
Uncorrected energy ... -9.559 eV/atom

abc: 4.280 4.280 4.280
angles: 60.00 60.00 60.00
Fractional positions:
Pu (0.000, 0.000, 0.000)
Ni (0.750, 0.750, 0.750)
W (0.250, 0.250, 0.250)



## YPu2Ni9 (PBE)

Data for YPu2Ni9 after structural relaxation.

Computed properties:
ΔE_f ... -0.101 eV per atom
Size of the total moment ... 0.1 Bohr magnetons per cell
Space-group type ... No. 166
V ... 162.38 Å³ per cell
Uncorrected energy ... -7.170 eV/atom

abc: 8.601 8.601 8.601
angles: 32.40 32.40 32.40
Fractional positions:
Y (0.000, 0.000, 0.000)
Pu (0.147, 0.147, 0.147)
Pu (0.853, 0.853, 0.853)
Ni (0.084, 0.582, 0.582)
Ni (0.333, 0.333, 0.333)
Ni (0.418, 0.418, 0.916)
Ni (0.418, 0.916, 0.418)
Ni (0.500, 0.500, 0.500)
Ni (0.582, 0.084, 0.582)
Ni (0.582, 0.582, 0.084)
Ni (0.667, 0.667, 0.667)
Ni (0.916, 0.418, 0.418)



## YPuNi (PBE)

Data for YPuNi after structural relaxation.

Computed properties:
ΔE_f ... 0.000 eV per atom
Size of the total moment ... 6.3 Bohr magnetons per cell
Energy relative to the lowest polymorph listed for this composition ... 0.0 kJ/mol of atoms
Space-group type ... No. 216
V ... 73.70 Å³ per cell
Uncorrected energy ... -8.720 eV/atom

abc: 4.706 4.706 4.706
angles: 60.00 60.00 60.00
Fractional positions:
Y (0.000, 0.000, 0.000)
Pu (0.500, 0.500, 0.500)
Ni (0.250, 0.250, 0.250)



## PuZnNi (PBE)

Data for PuZnNi after structural relaxation.

Computed properties:
ΔE_f ... 0.007 eV per atom
Size of the total moment ... 5.4 Bohr magnetons per cell
Energy relative to the lowest polymorph listed for this composition ... 0.0 kJ/mol of atoms
Space-group type ... No. 216
V ... 55.19 Å³ per cell
Uncorrected energy ... -6.979 eV/atom

abc: 4.274 4.274 4.274
angles: 60.00 60.00 60.00
Fractional positions:
Pu (0.000, 0.000, 0.000)
Zn (0.500, 0.500, 0.500)
Ni (0.750, 0.750, 0.750)



## RbNi3 (PBE)

Data for RbNi3 after structural relaxation.

Computed properties:
Size of the total moment ... 0.7 Bohr magnetons per cell
Energy relative to the lowest polymorph listed for this composition ... 55.9 kJ/mol of atoms
Space-group type ... No. 225
V ... 64.75 Å³ per cell
Uncorrected energy ... -3.180 eV/atom

abc: 4.507 4.507 4.507
angles: 60.00 60.00 60.00
Fractional positions:
Rb (0.000, 0.000, 0.000)
Ni (0.250, 0.250, 0.250)
Ni (0.500, 0.500, 0.500)
Ni (0.750, 0.750, 0.750)



## RbNi3 (PBE)

Data for RbNi3 after structural relaxation.

Computed properties:
Size of the total moment ... 1.4 Bohr magnetons per cell
Energy relative to the lowest polymorph listed for this composition ... 55.8 kJ/mol of atoms
Space-group type ... No. 221
V ... 66.31 Å³ per cell
Uncorrected energy ... -3.181 eV/atom

abc: 4.048 4.048 4.048
angles: 90.00 90.00 90.00
Fractional positions:
Rb (0.000, 0.000, 0.000)
Ni (0.000, 0.500, 0.500)
Ni (0.500, 0.000, 0.500)
Ni (0.500, 0.500, 0.000)



## RbNi (PBE)

Data for RbNi after structural relaxation.

Computed properties:
Size of the total moment ... 2.0 Bohr magnetons per cell
Space-group type ... No. 186
V ... 235.07 Å³ per cell
Uncorrected energy ... -1.909 eV/atom

abc: 5.510 5.510 8.942
angles: 90.00 90.00 120.00
Fractional positions:
Rb (0.333, 0.667, 0.000)
Rb (0.667, 0.333, 0.500)
Ni (0.333, 0.667, 0.624)
Ni (0.667, 0.333, 0.124)



## Rb3Ni (PBE)

Data for Rb3Ni after structural relaxation.

Computed properties:
Size of the total moment ... 0.1 Bohr magnetons per cell
Energy relative to the lowest polymorph listed for this composition ... 5.6 kJ/mol of atoms
Space-group type ... No. 221
V ... 193.61 Å³ per cell
Uncorrected energy ... -1.462 eV/atom

abc: 5.785 5.785 5.785
angles: 90.00 90.00 90.00
Fractional positions:
Rb (0.000, 0.000, 0.500)
Rb (0.000, 0.500, 0.000)
Rb (0.500, 0.000, 0.000)
Ni (0.500, 0.500, 0.500)